First-principles (PBEsol) data for a relaxed structure of Pr3Co29Si4B10, as listed in Alexandria.

Results
Its crystal system is tetragonal. For the raw total energy, the calculation gives -353.8 eV/f.u. For the volume, the calculation gives 10.27 A^3/atom. Its spin magnetization is 16.5 μB/f.u.

Unit cell a=7.757 b=11.039 c=11.039 alpha=90.00 beta=90.00 gamma=90.00
Positions (direct):
1 Co 0.338 0.338 0.325
2 Co 0.889 0.390 0.500
3 Co 0.747 0.614 0.886
4 Co 0.662 0.675 0.338
5 Co 0.028 0.500 0.837
6 Co 0.525 0.500 0.225
7 Co 0.972 0.000 0.337
8 Co 0.747 0.386 0.114
9 Co 0.747 0.386 0.886
10 Co 0.531 0.500 0.000
11 Co 0.699 0.890 0.390
12 Co 0.662 0.675 0.662
13 Co 0.662 0.325 0.662
14 Co 0.301 0.610 0.890
15 Co 0.253 0.114 0.386
16 Co 0.338 0.338 0.675
17 Co 0.475 0.000 0.725
18 Co 0.338 0.825 0.162
19 Co 0.301 0.390 0.890
20 Co 0.253 0.114 0.614
21 Co 0.111 0.500 0.390
22 Co 0.525 0.500 0.775
23 Co 0.469 0.000 0.500
24 Co 0.111 0.110 0.000
25 Co 0.338 0.175 0.838
26 Co 0.662 0.162 0.825
27 Co 0.253 0.886 0.614
28 Co 0.699 0.110 0.390
29 Co 0.525 0.725 0.000
30 Co 0.028 0.500 0.163
31 Co 0.662 0.162 0.175
32 Co 0.301 0.390 0.110
33 Co 0.662 0.838 0.825
34 Co 0.747 0.614 0.114
35 Co 0.889 0.610 0.500
36 Co 0.525 0.275 0.000
37 Co 0.889 0.000 0.890
38 Co 0.475 0.775 0.500
39 Co 0.972 0.000 0.663
40 Co 0.972 0.837 0.500
41 Co 0.475 0.000 0.275
42 Co 0.662 0.838 0.175
43 Co 0.699 0.890 0.610
44 Co 0.699 0.110 0.610
45 Co 0.111 0.890 0.000
46 Co 0.028 0.663 0.000
47 Co 0.475 0.225 0.500
48 Co 0.111 0.500 0.610
49 Co 0.662 0.325 0.338
50 Co 0.028 0.337 0.000
51 Co 0.338 0.175 0.162
52 Co 0.253 0.886 0.386
53 Co 0.338 0.662 0.675
54 Co 0.301 0.610 0.110
55 Co 0.338 0.825 0.838
56 Co 0.889 0.000 0.110
57 Co 0.972 0.163 0.500
58 Co 0.338 0.662 0.325
59 B 0.482 0.185 0.685
60 B 0.482 0.815 0.315
61 B 0.518 0.315 0.815
62 B 0.482 0.185 0.315
63 B 0.482 0.815 0.685
64 B 0.262 0.244 0.000
65 B 0.518 0.685 0.185
66 B 0.109 0.000 0.500
67 B 0.262 0.500 0.256
68 B 0.738 0.256 0.500
69 B 0.891 0.500 0.000
70 B 0.518 0.315 0.185
71 B 0.738 0.000 0.244
72 B 0.518 0.685 0.815
73 B 0.150 0.500 0.000
74 B 0.850 0.000 0.500
75 B 0.738 0.000 0.756
76 B 0.738 0.744 0.500
77 B 0.262 0.756 0.000
78 B 0.262 0.500 0.744
79 Si 0.176 0.000 0.182
80 Si 0.824 0.500 0.318
81 Si 0.176 0.318 0.500
82 Si 0.824 0.182 0.000
83 Si 0.176 0.000 0.818
84 Si 0.824 0.500 0.682
85 Si 0.176 0.682 0.500
86 Si 0.824 0.818 0.000
87 Pr 0.500 0.000 0.000
88 Pr 0.000 0.250 0.250
89 Pr 0.000 0.750 0.250
90 Pr 0.500 0.500 0.500
91 Pr 0.000 0.750 0.750
92 Pr 0.000 0.250 0.750

First-principles (PBEsol) data for a relaxed structure of RbCoB2, as listed in Alexandria.

Results
Its crystal system is cubic. For the energy relative to the lowest polymorph listed for this composition, the calculation gives 7.03 eV per formula unit. For the volume, the calculation gives 14.24 A^3/atom. The value obtained for the energy of formation from the pure elements is 2.2762 eV/atom. Its spin magnetization is 1.0 μB/f.u.

Unit cell a=4.319 b=4.319 c=4.319 alpha=60.00 beta=60.00 gamma=60.00
Positions (direct):
1 B 0.250 0.250 0.250
2 B 0.750 0.750 0.750
3 Co 0.000 0.000 0.000
4 Rb 0.500 0.500 0.500

First-principles (PBEsol) data for a relaxed structure of RbCoB2, as listed in Alexandria.

Results
Its crystal system is cubic. For the energy relative to the lowest polymorph listed for this composition, the calculation gives 0.00 eV per formula unit. For the volume, the calculation gives 18.45 A^3/atom. The value obtained for the energy of formation from the pure elements is 0.5178 eV/atom. Its spin magnetization is 0.0 μB/f.u.

Unit cell a=5.932 b=5.932 c=5.932 alpha=60.00 beta=60.00 gamma=60.00
Positions (direct):
1 B 0.625 0.625 0.125
2 B 0.125 0.625 0.625
3 B 0.625 0.125 0.625
4 B 0.625 0.625 0.625
5 Rb 0.000 0.000 0.000
6 Rb 0.250 0.250 0.250
7 Co 0.500 0.500 0.500
8 Co 0.750 0.750 0.750

First-principles (PBEsol) data for a relaxed structure of Co3ReB4, as listed in Alexandria.

Results
Its crystal system is monoclinic. For the volume, the calculation gives 8.21 A^3/atom. The value obtained for the energy of formation from the pure elements is -0.3776 eV/atom. Its spin magnetization is 0.0 μB/f.u.

Unit cell a=3.017 b=4.078 c=5.342 alpha=91.56 beta=90.00 gamma=90.00
Positions (direct):
1 B 0.500 0.392 0.014
2 B 0.000 0.870 0.480
3 B 0.500 0.102 0.551
4 B 0.000 0.636 0.955
5 Re 0.000 0.368 0.321
6 Co 0.500 0.873 0.173
7 Co 0.500 0.628 0.680
8 Co 0.000 0.130 0.827